A relaxed SnBiPd5 crystal. Source: OQMD via LeMat-Bulk, functional PBE-GGA.

Values from the calculation:
* volume: 18.23 A^3/atom
* DFT total energy: -5.220 eV/atom

```
data_SnBiPd5
_cell_length_a 4.075
_cell_length_b 4.075
_cell_length_c 7.684
_cell_angle_alpha 90.00
_cell_angle_beta 90.00
_cell_angle_gamma 90.00
_symmetry_space_group_name_H-M 'P 4/m m m'
_symmetry_Int_Tables_number 123
_symmetry_space_group_name_Hall '-P 4 2'
loop_
_atom_site_label
_atom_site_fract_x
_atom_site_fract_y
_atom_site_fract_z
Sn1 0.000 0.000 0.000
Bi1 0.500 0.500 0.500
Pd1 0.000 0.500 0.255
Pd2 0.500 0.500 0.000
```

=====

A relaxed Sn2Bi2Pd3 crystal. Source: OQMD via LeMat-Bulk, functional PBE-GGA.

Values from the calculation:
* volume: 22.21 A^3/atom
* DFT total energy: -4.767 eV/atom

```
data_Sn2Bi2Pd3
_cell_length_a 4.7989
_cell_length_b 4.7989
_cell_length_c 23.3842
_cell_angle_alpha 90.00
_cell_angle_beta 90.00
_cell_angle_gamma 120.00
_symmetry_space_group_name_H-M 'R 3 m'
_symmetry_Int_Tables_number 160
_symmetry_space_group_name_Hall 'R 3 -2"'
loop_
_atom_site_label
_atom_site_fract_x
_atom_site_fract_y
_atom_site_fract_z
Sn1 0.0000 0.0000 0.0000
Sn2 0.0000 0.0000 0.4949
Bi1 0.0000 0.0000 0.2421
Bi2 0.0000 0.0000 0.7500
Pd1 0.0000 0.0000 0.3706
Pd2 0.0000 0.0000 0.6229
Pd3 0.0000 0.0000 0.8744
```

=====

A relaxed Sr3Bi4Pd4 crystal. Source: OQMD via LeMat-Bulk, functional PBE-GGA.

Values from the calculation:
* volume: 27.66 A^3/atom
* DFT total energy: -4.440 eV/atom

```
data_Sr3Bi4Pd4
_cell_length_a 4.519
_cell_length_b 4.829
_cell_length_c 13.946
_cell_angle_alpha 90.00
_cell_angle_beta 90.00
_cell_angle_gamma 90.00
_symmetry_space_group_name_H-M 'P m m m'
_symmetry_Int_Tables_number 47
_symmetry_space_group_name_Hall '-P 2 2'
loop_
_atom_site_label
_atom_site_fract_x
_atom_site_fract_y
_atom_site_fract_z
Sr1 0.000 0.000 0.000
Sr2 0.000 0.500 0.310
Bi1 0.500 0.000 0.383
Bi2 0.500 0.500 0.110
Pd1 0.000 0.000 0.500
Pd2 0.500 0.000 0.189
Pd3 0.500 0.500 0.500
```

=====

A relaxed Ta2BiPd crystal. Source: OQMD via LeMat-Bulk, functional PBE-GGA.

Values from the calculation:
* size of the total moment: 0.05 μB/cell
* volume: 19.39 A^3/atom
* DFT total energy: -7.806 eV/atom

```
data_Ta2BiPd
_cell_length_a 6.770
_cell_length_b 6.770
_cell_length_c 6.770
_cell_angle_alpha 90.00
_cell_angle_beta 90.00
_cell_angle_gamma 90.00
_symmetry_space_group_name_H-M 'F -4 3 m'
_symmetry_Int_Tables_number 216
_symmetry_space_group_name_Hall 'F -4 2 3'
loop_
_atom_site_label
_atom_site_fract_x
_atom_site_fract_y
_atom_site_fract_z
Ta1 0.000 0.000 0.000
Ta2 0.250 0.250 0.250
Bi1 0.000 0.000 0.500
Pd1 0.250 0.250 0.750
```

=====

A relaxed TbBiPd crystal. Source: OQMD via LeMat-Bulk, functional PBE-GGA.

Values from the calculation:
* size of the total moment: 0.01 μB/cell
* volume: 23.87 A^3/atom
* DFT total energy: -5.414 eV/atom

```
data_TbBiPd
_cell_length_a 7.6757
_cell_length_b 7.6757
_cell_length_c 4.2110
_cell_angle_alpha 90.00
_cell_angle_beta 90.00
_cell_angle_gamma 120.00
_symmetry_space_group_name_H-M 'P -6 2 m'
_symmetry_Int_Tables_number 189
_symmetry_space_group_name_Hall 'P -6 -2'
loop_
_atom_site_label
_atom_site_fract_x
_atom_site_fract_y
_atom_site_fract_z
Tb1 0.0000 0.6061 0.0000
Bi1 0.0000 0.2712 0.5000
Pd1 0.0000 0.0000 0.0000
Pd2 0.3333 0.6667 0.5000
```

=====

A relaxed Tc2BiPd crystal. Source: OQMD via LeMat-Bulk, functional PBE-GGA.

Values from the calculation:
* size of the total moment: 1.91 μB/cell
* volume: 17.20 A^3/atom
* DFT total energy: -6.965 eV/atom

```
data_Tc2BiPd
_cell_length_a 6.505
_cell_length_b 6.505
_cell_length_c 6.505
_cell_angle_alpha 90.00
_cell_angle_beta 90.00
_cell_angle_gamma 90.00
_symmetry_space_group_name_H-M 'F -4 3 m'
_symmetry_Int_Tables_number 216
_symmetry_space_group_name_Hall 'F -4 2 3'
loop_
_atom_site_label
_atom_site_fract_x
_atom_site_fract_y
_atom_site_fract_z
Tc1 0.000 0.000 0.000
Tc2 0.250 0.250 0.250
Bi1 0.000 0.000 0.500
Pd1 0.250 0.250 0.750
```

=====

A relaxed TcBi2Pd crystal. Source: OQMD via LeMat-Bulk, functional PBE-GGA.

Values from the calculation:
* size of the total moment: 0.05 μB/cell
* volume: 21.40 A^3/atom
* DFT total energy: -5.248 eV/atom

```
data_TcBi2Pd
_cell_length_a 6.996
_cell_length_b 6.996
_cell_length_c 6.996
_cell_angle_alpha 90.00
_cell_angle_beta 90.00
_cell_angle_gamma 90.00
_symmetry_space_group_name_H-M 'F -4 3 m'
_symmetry_Int_Tables_number 216
_symmetry_space_group_name_Hall 'F -4 2 3'
loop_
_atom_site_label
_atom_site_fract_x
_atom_site_fract_y
_atom_site_fract_z
Tc1 0.000 0.000 0.000
Bi1 0.000 0.000 0.500
Bi2 0.250 0.250 0.750
Pd1 0.250 0.250 0.250
```

=====

A relaxed TcBiPd crystal. Source: OQMD via LeMat-Bulk, functional PBE-GGA.

Values from the calculation:
* size of the total moment: 3.81 μB/cell
* volume: 21.26 A^3/atom
* DFT total energy: -6.107 eV/atom

```
data_TcBiPd
_cell_length_a 6.342
_cell_length_b 6.342
_cell_length_c 6.342
_cell_angle_alpha 90.00
_cell_angle_beta 90.00
_cell_angle_gamma 90.00
_symmetry_space_group_name_H-M 'F -4 3 m'
_symmetry_Int_Tables_number 216
_symmetry_space_group_name_Hall 'F -4 2 3'
loop_
_atom_site_label
_atom_site_fract_x
_atom_site_fract_y
_atom_site_fract_z
Tc1 0.000 0.000 0.000
Bi1 0.250 0.250 0.750
Pd1 0.250 0.250 0.250
```

=====

A relaxed Bi2TePd2 crystal. Source: OQMD via LeMat-Bulk, functional PBE-GGA.

Values from the calculation:
* volume: 25.21 A^3/atom
* DFT total energy: -4.346 eV/atom

```
data_Bi2TePd2
_cell_length_a 4.415
_cell_length_b 4.415
_cell_length_c 12.935
_cell_angle_alpha 90.00
_cell_angle_beta 90.00
_cell_angle_gamma 90.00
_symmetry_space_group_name_H-M 'I 4/m m m'
_symmetry_Int_Tables_number 139
_symmetry_space_group_name_Hall '-I 4 2'
loop_
_atom_site_label
_atom_site_fract_x
_atom_site_fract_y
_atom_site_fract_z
Bi1 0.000 0.000 0.122
Te1 0.000 0.000 0.500
Pd1 0.000 0.500 0.250
```

=====

A relaxed Bi10Te10Pd crystal. Source: OQMD via LeMat-Bulk, functional PBE-GGA.

Values from the calculation:
* volume: 35.40 A^3/atom
* DFT total energy: -3.746 eV/atom

```
data_Bi10Te10Pd
_cell_length_a 12.418
_cell_length_b 13.582
_cell_length_c 8.815
_cell_angle_alpha 90.00
_cell_angle_beta 90.00
_cell_angle_gamma 90.00
_symmetry_space_group_name_H-M 'P b a m'
_symmetry_Int_Tables_number 55
_symmetry_space_group_name_Hall '-P 2 2ab'
loop_
_atom_site_label
_atom_site_fract_x
_atom_site_fract_y
_atom_site_fract_z
Bi1 0.000 0.000 0.247
Bi2 0.132 0.413 0.282
Bi3 0.155 0.660 0.500
Bi4 0.205 0.552 0.000
Te1 0.011 0.333 0.000
Te2 0.120 0.885 0.000
Te3 0.151 0.892 0.500
Te4 0.175 0.176 0.257
Pd1 0.000 0.500 0.500
```

=====

A relaxed Th3Bi6Pd crystal. Source: OQMD via LeMat-Bulk, functional PBE-GGA.

Values from the calculation:
* size of the total moment: 0.02 μB/cell
* volume: 38.36 A^3/atom
* DFT total energy: -4.931 eV/atom

```
data_Th3Bi6Pd
_cell_length_a 8.072
_cell_length_b 8.072
_cell_length_c 11.775
_cell_angle_alpha 90.00
_cell_angle_beta 90.00
_cell_angle_gamma 90.00
_symmetry_space_group_name_H-M 'I 4/m m m'
_symmetry_Int_Tables_number 139
_symmetry_space_group_name_Hall '-I 4 2'
loop_
_atom_site_label
_atom_site_fract_x
_atom_site_fract_y
_atom_site_fract_z
Th1 0.000 0.000 0.000
Th2 0.000 0.500 0.250
Bi1 0.000 0.000 0.260
Bi2 0.000 0.322 0.500
Pd1 0.000 0.000 0.500
```

=====

A relaxed TlBiPd crystal. Source: OQMD via LeMat-Bulk, functional PBE-GGA.

Values from the calculation:
* volume: 27.43 A^3/atom
* DFT total energy: -3.601 eV/atom

```
data_TlBiPd
_cell_length_a 6.904
_cell_length_b 6.904
_cell_length_c 6.904
_cell_angle_alpha 90.00
_cell_angle_beta 90.00
_cell_angle_gamma 90.00
_symmetry_space_group_name_H-M 'F -4 3 m'
_symmetry_Int_Tables_number 216
_symmetry_space_group_name_Hall 'F -4 2 3'
loop_
_atom_site_label
_atom_site_fract_x
_atom_site_fract_y
_atom_site_fract_z
Tl1 0.000 0.000 0.000
Bi1 0.250 0.250 0.750
Pd1 0.250 0.250 0.250
```

=====

A relaxed TlBi5Pd3 crystal. Source: OQMD via LeMat-Bulk, functional PBE-GGA.

Values from the calculation:
* volume: 26.71 A^3/atom
* DFT total energy: -4.408 eV/atom

```
data_TlBi5Pd3
_cell_length_a 5.7617
_cell_length_b 5.7617
_cell_length_c 8.3602
_cell_angle_alpha 90.00
_cell_angle_beta 90.00
_cell_angle_gamma 120.00
_symmetry_space_group_name_H-M 'P 6/m m m'
_symmetry_Int_Tables_number 191
_symmetry_space_group_name_Hall '-P 6 2'
loop_
_atom_site_label
_atom_site_fract_x
_atom_site_fract_y
_atom_site_fract_z
Tl1 0.0000 0.0000 0.0000
Bi1 0.0000 0.0000 0.5000
Bi2 0.3333 0.6667 0.2158
Pd1 0.0000 0.5000 0.5000
```

=====

A relaxed TmBiPd crystal. Source: OQMD via LeMat-Bulk, functional PBE-GGA.

Values from the calculation:
* size of the total moment: 0.00 μB/cell
* volume: 24.64 A^3/atom
* DFT total energy: -5.489 eV/atom

```
data_TmBiPd
_cell_length_a 6.662
_cell_length_b 6.662
_cell_length_c 6.662
_cell_angle_alpha 90.00
_cell_angle_beta 90.00
_cell_angle_gamma 90.00
_symmetry_space_group_name_H-M 'F -4 3 m'
_symmetry_Int_Tables_number 216
_symmetry_space_group_name_Hall 'F -4 2 3'
loop_
_atom_site_label
_atom_site_fract_x
_atom_site_fract_y
_atom_site_fract_z
Tm1 0.000 0.000 0.000
Bi1 0.000 0.000 0.500
Pd1 0.250 0.250 0.750
```

=====

A relaxed TmBiPd crystal. Source: OQMD via LeMat-Bulk, functional PBE-GGA.

Values from the calculation:
* size of the total moment: 0.01 μB/cell
* volume: 23.24 A^3/atom
* DFT total energy: -5.328 eV/atom

```
data_TmBiPd
_cell_length_a 7.6589
_cell_length_b 7.6589
_cell_length_c 4.1176
_cell_angle_alpha 90.00
_cell_angle_beta 90.00
_cell_angle_gamma 120.00
_symmetry_space_group_name_H-M 'P -6 2 m'
_symmetry_Int_Tables_number 189
_symmetry_space_group_name_Hall 'P -6 -2'
loop_
_atom_site_label
_atom_site_fract_x
_atom_site_fract_y
_atom_site_fract_z
Tm1 0.0000 0.6067 0.0000
Bi1 0.0000 0.2720 0.5000
Pd1 0.0000 0.0000 0.0000
Pd2 0.3333 0.6667 0.5000
```

=====

A relaxed TmBiPd crystal. Source: OQMD via LeMat-Bulk, functional PBE-GGA.

Values from the calculation:
* size of the total moment: 0.00 μB/cell
* volume: 27.33 A^3/atom
* DFT total energy: -4.886 eV/atom

```
data_TmBiPd
_cell_length_a 6.896
_cell_length_b 6.896
_cell_length_c 6.896
_cell_angle_alpha 90.00
_cell_angle_beta 90.00
_cell_angle_gamma 90.00
_symmetry_space_group_name_H-M 'F -4 3 m'
_symmetry_Int_Tables_number 216
_symmetry_space_group_name_Hall 'F -4 2 3'
loop_
_atom_site_label
_atom_site_fract_x
_atom_site_fract_y
_atom_site_fract_z
Tm1 0.000 0.000 0.000
Bi1 0.250 0.250 0.750
Pd1 0.250 0.250 0.250
```

=====

A relaxed TmBiPd crystal. Source: OQMD via LeMat-Bulk, functional PBE-GGA.

Values from the calculation:
* size of the total moment: 0.01 μB/cell
* volume: 23.35 A^3/atom
* DFT total energy: -5.335 eV/atom

```
data_TmBiPd
_cell_length_a 7.568
_cell_length_b 4.473
_cell_length_c 8.279
_cell_angle_alpha 90.00
_cell_angle_beta 90.00
_cell_angle_gamma 90.00
_symmetry_space_group_name_H-M 'P n m a'
_symmetry_Int_Tables_number 62
_symmetry_space_group_name_Hall '-P 2ac 2n'
loop_
_atom_site_label
_atom_site_fract_x
_atom_site_fract_y
_atom_site_fract_z
Tm1 0.023 0.250 0.221
Bi1 0.236 0.250 0.898
Pd1 0.119 0.250 0.571
```

=====

A relaxed Tm3Zr3Bi2Pd crystal. Source: OQMD via LeMat-Bulk, functional PBE-GGA.

Values from the calculation:
* excess energy over the best structure of this formula in the dataset: 33 meV per atom
* size of the total moment: 0.02 μB/cell
* volume: 24.57 A^3/atom
* DFT total energy: -6.250 eV/atom

```
data_Tm3Zr3Bi2Pd
_cell_length_a 8.2304
_cell_length_b 8.2304
_cell_length_c 3.7698
_cell_angle_alpha 90.00
_cell_angle_beta 90.00
_cell_angle_gamma 120.00
_symmetry_space_group_name_H-M 'P -6 2 m'
_symmetry_Int_Tables_number 189
_symmetry_space_group_name_Hall 'P -6 -2'
loop_
_atom_site_label
_atom_site_fract_x
_atom_site_fract_y
_atom_site_fract_z
Tm1 0.0000 0.2514 0.0000
Zr1 0.0000 0.5986 0.5000
Bi1 0.3333 0.6667 0.0000
Pd1 0.0000 0.0000 0.5000
```

=====

A relaxed Tm3Zr3Bi2Pd crystal. Source: OQMD via LeMat-Bulk, functional PBE-GGA.

Values from the calculation:
* excess energy over the best structure of this formula in the dataset: 0 meV per atom
* size of the total moment: 0.27 μB/cell
* volume: 25.16 A^3/atom
* DFT total energy: -6.283 eV/atom

```
data_Tm3Zr3Bi2Pd
_cell_length_a 8.0915
_cell_length_b 8.0915
_cell_length_c 3.9938
_cell_angle_alpha 90.00
_cell_angle_beta 90.00
_cell_angle_gamma 120.00
_symmetry_space_group_name_H-M 'P -6 2 m'
_symmetry_Int_Tables_number 189
_symmetry_space_group_name_Hall 'P -6 -2'
loop_
_atom_site_label
_atom_site_fract_x
_atom_site_fract_y
_atom_site_fract_z
Tm1 0.0000 0.6066 0.0000
Zr1 0.0000 0.2379 0.5000
Bi1 0.3333 0.6667 0.5000
Pd1 0.0000 0.0000 0.0000
```

=====

A relaxed BiPdW crystal. Source: OQMD via LeMat-Bulk, functional PBE-GGA.

Values from the calculation:
* size of the total moment: 6.69 μB/cell
* volume: 22.40 A^3/atom
* DFT total energy: -6.620 eV/atom

```
data_BiPdW
_cell_length_a 6.454
_cell_length_b 6.454
_cell_length_c 6.454
_cell_angle_alpha 90.00
_cell_angle_beta 90.00
_cell_angle_gamma 90.00
_symmetry_space_group_name_H-M 'F -4 3 m'
_symmetry_Int_Tables_number 216
_symmetry_space_group_name_Hall 'F -4 2 3'
loop_
_atom_site_label
_atom_site_fract_x
_atom_site_fract_y
_atom_site_fract_z
Bi1 0.000 0.000 0.000
Pd1 0.000 0.000 0.500
W1 0.250 0.250 0.250
```